Crystalline FeIO2 at its relaxed geometry. Source: Alexandria via LeMat-Bulk, functional PBEsol.

Lattice parameters (Å, degrees): 3.0819 3.0819 25.5562 90.00 90.00 120.00
Space group R-3m (No. 166, hexagonal axes)
Inequivalent atoms, fractional coordinates:
Fe: 0.0000 0.0000 0.0000 x3
I: 0.0000 0.0000 0.5000 x3
O: 0.0000 0.0000 0.0620 x6

Results
* total energy: -5.198 eV per atom